LiMoP4O12: relaxed, PBE+U.

Computed properties:
Total energy = -7.125 eV/atom
Spin magnetization = 6.0 Bohr magnetons per cell
Crystal system = monoclinic
Space-group type = C2/c
Volume = 484.9 Å³/cell

Cell and atoms, written as extended XYZ:
```
36
Lattice="-1.227 -1.084 -8.570 -5.036 -5.759 -4.195 -8.418 3.008 -4.116" Properties=species:S:1:pos:R:3 pbc="T T T"
O -8.646 0.372 -12.305
O -9.435 -4.438 -8.362
O -6.771 -1.886 -6.995
O -7.768 0.260 -8.010
O -5.246 0.603 -8.519
O -7.137 1.110 -10.202
O -7.910 -1.949 -9.886
O -10.430 0.293 -9.685
O -3.796 -4.288 -3.291
O -10.207 -1.469 -11.980
O -6.913 -4.095 -8.871
O -4.251 -4.128 -7.196
O -6.841 -3.681 -11.300
O -10.885 0.453 -13.589
O -5.349 -2.351 -9.714
O -3.595 -1.113 -6.863
O -7.545 -4.945 -6.679
O -2.784 -0.618 -4.495
O -9.332 -1.484 -7.166
O -4.474 -2.366 -4.901
O -11.086 -2.722 -10.017
O -7.840 -0.154 -5.581
O -6.035 -4.207 -4.575
O -11.897 -3.217 -12.386
Li -8.716 -0.271 -10.306
Li -5.965 -3.564 -6.574
P -11.540 -2.078 -11.296
P -8.042 -4.929 -8.106
P -6.748 -2.865 -9.909
P -9.752 -0.358 -13.035
P -3.141 -1.757 -5.584
P -7.933 -0.970 -6.972
P -4.930 -3.477 -3.845
P -6.639 1.094 -8.774
Mo -10.835 -2.871 -7.873
Mo -3.846 -0.964 -9.007
```